[1]
A plane-wave DFT calculation with PBE was carried out for an optimized crystal structure of PrTc4O12.

Output
E, eV/cell: -133.659
V, Å³/atom: 13.36
Formation energy without anion corrections, eV/f.u.: -27.92
Crystal system: cubic

Unit cell a=6.658 b=6.658 c=6.658 alpha=109.47 beta=109.47 gamma=109.47
Fractional positions:
Pr1 0.000 0.000 0.000
Tc1 0.000 0.500 0.000
Tc2 0.500 0.000 0.000
Tc3 0.500 0.500 0.500
Tc4 0.000 0.000 0.500
O1 0.756 0.244 0.001
O2 0.244 0.488 0.244
O3 0.999 0.244 0.756
O4 0.244 0.001 0.756
O5 0.001 0.756 0.244
O6 0.756 0.512 0.756
O7 0.488 0.244 0.244
O8 0.512 0.756 0.756
O9 0.756 0.999 0.244
O10 0.756 0.756 0.512
O11 0.244 0.244 0.488
O12 0.244 0.756 0.999

***

[2]
A plane-wave DFT calculation with PBE was carried out for an optimized crystal structure of Li7Cd3In.

Output
E, eV/cell: -41.326
V, Å³/atom: 19.79
Formation energy from the elements, kcal/mol of atoms: -3.74
Crystal system: orthorhombic

Unit cell a=2.998 b=11.473 c=12.766 alpha=90.00 beta=90.00 gamma=97.51
Fractional positions:
Li1 0.359 0.718 0.750
Li2 0.641 0.282 0.250
Li3 0.548 0.097 0.426
Li4 0.452 0.903 0.574
Li5 0.452 0.903 0.926
Li6 0.548 0.097 0.074
Li7 0.419 0.838 0.367
Li8 0.581 0.162 0.633
Li9 0.262 0.523 0.385
Li10 0.738 0.477 0.615
Li11 0.738 0.477 0.885
Li12 0.262 0.523 0.115
Li13 0.419 0.838 0.133
Li14 0.581 0.162 0.867
Cd1 0.153 0.305 0.479
Cd2 0.847 0.695 0.521
Cd3 0.164 0.329 0.750
Cd4 0.836 0.671 0.250
Cd5 0.153 0.305 0.021
Cd6 0.847 0.695 0.979
In1 0.009 0.019 0.250
In2 0.991 0.981 0.750

***

[3]
A plane-wave DFT calculation with PBE was carried out for an optimized crystal structure of Be2ReBiI.

Output
E, eV/cell: -15.748
V, Å³/atom: 21.61
Formation energy without anion corrections, eV/f.u.: 9.58
Crystal system: tetragonal

Unit cell a=4.611 b=5.082 c=4.611 alpha=90.00 beta=90.00 gamma=90.00
Fractional positions:
I1 0.000 0.000 0.000
Re1 0.000 0.500 0.000
Bi1 0.500 0.500 0.500
Be1 0.000 0.000 0.500
Be2 0.500 0.000 0.000

***

[4]
A plane-wave DFT calculation with PBE was carried out for an optimized crystal structure of YGa3CoRu.

Output
E, eV/cell: -67.433
V, Å³/atom: 18.61
Formation energy from the elements, kcal/mol of atoms: -6.88
Crystal system: orthorhombic

Unit cell a=5.575 b=7.668 c=6.481 alpha=126.27 beta=90.00 gamma=90.00
Fractional positions:
Y1 0.750 0.289 0.577
Y2 0.250 0.711 0.423
Ga1 0.250 0.188 0.377
Ga2 0.000 0.250 0.000
Ga3 0.500 0.750 0.000
Ga4 0.500 0.250 0.000
Ga5 0.000 0.750 0.000
Ga6 0.750 0.812 0.623
Co1 0.250 0.968 0.937
Co2 0.750 0.032 0.063
Ru1 0.250 0.418 0.837
Ru2 0.750 0.582 0.163

***

[5]
A plane-wave DFT calculation with PBE was carried out for an optimized crystal structure of Er4Ru2Pt.

Output
E, eV/cell: -93.522
V, Å³/atom: 22.02
Formation energy from the elements, kcal/mol of atoms: -12.90
Crystal system: tetragonal

Unit cell a=7.371 b=7.371 c=7.371 alpha=109.43 beta=109.55 gamma=109.43
Fractional positions:
Er1 0.132 0.885 0.379
Er2 0.621 0.753 0.506
Er3 0.997 0.615 0.744
Er4 0.256 0.253 0.871
Er5 0.618 0.747 0.003
Er6 0.753 0.247 0.868
Er7 0.494 0.115 0.247
Er8 0.129 0.385 0.382
Ru1 0.875 0.130 0.505
Ru2 0.495 0.370 0.625
Ru3 0.375 0.870 0.745
Ru4 0.255 0.630 0.125
Pt1 0.000 0.000 0.000
Pt2 0.750 0.500 0.250

***

[6]
A plane-wave DFT calculation with PBE was carried out for an optimized crystal structure of LaHf2Au2.

Output
E, eV/cell: -65.664
V, Å³/atom: 22.78
Formation energy from the elements, kcal/mol of atoms: -6.66
Crystal system: tetragonal

Unit cell a=8.183 b=8.183 c=3.402 alpha=90.00 beta=90.00 gamma=90.00
Fractional positions:
Hf1 0.167 0.667 0.500
Hf2 0.667 0.833 0.500
Hf3 0.833 0.333 0.500
Hf4 0.333 0.167 0.500
Au1 0.375 0.875 0.000
Au2 0.875 0.625 0.000
Au3 0.625 0.125 0.000
Au4 0.125 0.375 0.000
La1 0.000 0.000 0.000
La2 0.500 0.500 0.000

***

[7]
A plane-wave DFT calculation with PBE was carried out for an optimized crystal structure of Sc2CrAuN.

Output
E, eV/cell: -38.423
V, Å³/atom: 15.42
Formation energy without anion corrections, eV/f.u.: -4.53
Crystal system: tetragonal

Unit cell a=4.485 b=4.485 c=3.832 alpha=90.00 beta=90.00 gamma=90.00
Fractional positions:
Sc1 0.000 0.500 0.000
Sc2 0.500 0.000 0.000
Cr1 0.000 0.000 0.500
Au1 0.500 0.500 0.500
N1 0.000 0.000 0.000

***

[8]
A plane-wave DFT calculation with PBE was carried out for an optimized crystal structure of TaGaMoOs2.

Output
E, eV/cell: -39.446
V, Å³/atom: 20.10
Formation energy from the elements, kcal/mol of atoms: 40.24
Crystal system: tetragonal

Unit cell a=4.668 b=4.613 c=4.668 alpha=90.00 beta=90.00 gamma=90.00
Fractional positions:
Mo1 0.000 0.000 0.000
Os1 0.000 0.000 0.500
Os2 0.500 0.000 0.000
Ga1 0.000 0.500 0.000
Ta1 0.500 0.500 0.500